# 1
Computed, not measured: an optimized crystal structure of KCr3C at the PBE-GGA level of DFT.

Lattice parameters (Å, degrees): 5.562 5.562 5.562 90.00 90.00 90.00
Sites, in units of the cell vectors:
K 0.000 0.000 0.000
Cr 0.000 0.000 0.500
Cr 0.000 0.500 0.000
Cr 0.500 0.000 0.000
C 0.500 0.500 0.500

Computed properties:
E above lowest polymorph = 2373 meV/atom
E_form = 3.490 eV/atom
VASP energy = -21.74 eV per cell
total moment = 14.03 μB/f.u.

# 2
Computed, not measured: an optimized crystal structure of Ac6OsRu2Cl3 at the PBE-GGA level of DFT.

Lattice parameters (Å, degrees): 7.470 7.470 8.305 98.61 98.61 120.00
Sites, in units of the cell vectors:
Ac 0.100 0.433 0.798
Ac 0.234 0.234 0.202
Ac 0.433 0.100 0.798
Ac 0.567 0.900 0.202
Ac 0.766 0.766 0.798
Ac 0.900 0.567 0.202
Os 0.500 0.500 0.000
Ru 0.167 0.833 0.000
Ru 0.833 0.167 0.000
Cl 0.000 0.000 0.500
Cl 0.332 0.668 0.500
Cl 0.668 0.332 0.500

Computed properties:
formation energy without anion corrections = -10.43 eV per formula unit
VASP energy = -70.40 eV per cell
total moment = 0.00 μB/f.u.

# 3
Computed, not measured: an optimized crystal structure of Th5AlSe4 at the PBE-GGA level of DFT.

Lattice parameters (Å, degrees): 7.293 7.293 10.235 117.04 117.04 34.55
Sites, in units of the cell vectors:
Th 0.000 0.000 0.000
Th 0.196 0.196 0.802
Th 0.399 0.399 0.600
Th 0.601 0.601 0.400
Th 0.804 0.804 0.198
Al 0.000 0.000 0.500
Se 0.202 0.202 0.296
Se 0.403 0.403 0.100
Se 0.597 0.597 0.900
Se 0.798 0.798 0.704

Computed properties:
formation energy without anion corrections = -12.46 eV per formula unit
VASP energy = -67.24 eV per cell
total moment = 0.00 μB/f.u.

# 4
Computed, not measured: an optimized crystal structure of Tb4Sb3N at the PBE-GGA level of DFT.

Lattice parameters (Å, degrees): 9.658 8.573 6.192 90.00 90.00 90.00
Sites, in units of the cell vectors:
Tb 0.000 0.092 0.000
Tb 0.000 0.818 0.564
Tb 0.208 0.694 0.001
Tb 0.292 0.306 0.501
Tb 0.500 0.182 0.064
Tb 0.500 0.908 0.500
Tb 0.708 0.306 0.501
Tb 0.792 0.694 0.001
Sb 0.000 0.157 0.490
Sb 0.231 0.338 0.990
Sb 0.269 0.662 0.490
Sb 0.500 0.843 0.990
Sb 0.731 0.662 0.490
Sb 0.769 0.338 0.990
N 0.000 0.821 0.929
N 0.500 0.179 0.429

Computed properties:
formation energy without anion corrections = -7.77 eV per formula unit
VASP energy = -93.97 eV per cell
total moment = 0.00 μB/f.u.

# 5
Computed, not measured: an optimized crystal structure of Be2AgAs at the PBE-GGA level of DFT.

Lattice parameters (Å, degrees): 4.474 4.474 2.835 90.00 90.00 105.94
Sites, in units of the cell vectors:
Be 0.000 0.500 0.000
Be 0.500 0.000 0.000
Ag 0.000 0.000 0.500
As 0.500 0.500 0.500

Computed properties:
E_form = 0.408 eV/atom
VASP energy = -13.32 eV per cell
total moment = 0.00 μB/f.u.

# 6
Computed, not measured: an optimized crystal structure of Ca2Ac3Pr6 at the PBE-GGA level of DFT.

Lattice parameters (Å, degrees): 9.662 9.662 5.770 90.00 90.00 120.00
Sites, in units of the cell vectors:
Ca 0.333 0.667 0.000
Ca 0.667 0.333 0.000
Ac 0.000 0.444 0.500
Ac 0.444 0.000 0.500
Ac 0.556 0.556 0.500
Pr 0.000 0.219 0.000
Pr 0.000 0.789 0.500
Pr 0.211 0.211 0.500
Pr 0.219 0.000 0.000
Pr 0.781 0.781 0.000
Pr 0.789 0.000 0.500

Computed properties:
E_form = 0.290 eV/atom
VASP energy = -41.82 eV per cell
total moment = 0.00 μB/f.u.

# 7
Computed, not measured: an optimized crystal structure of Dy4Si3Ge at the PBE-GGA level of DFT.

Lattice parameters (Å, degrees): 3.867 4.285 10.585 90.00 90.00 90.00
Sites, in units of the cell vectors:
Dy 0.000 0.000 0.000
Dy 0.000 0.500 0.496
Dy 0.500 0.000 0.718
Dy 0.500 0.500 0.219
Si 0.000 0.000 0.283
Si 0.500 0.000 0.435
Si 0.500 0.500 0.940
Ge 0.000 0.500 0.778

Computed properties:
formation energy without anion corrections = -6.66 eV per formula unit
VASP energy = -45.96 eV per cell
total moment = 0.00 μB/f.u.

# 8
Computed, not measured: an optimized crystal structure of Ac2Pm4Tl3H2 at the PBE-GGA level of DFT.

Lattice parameters (Å, degrees): 13.419 13.419 13.419 158.64 158.64 30.39
Sites, in units of the cell vectors:
Ac 0.198 0.198 0.000
Ac 0.802 0.802 0.000
Pm 0.081 0.581 0.500
Pm 0.419 0.919 0.500
Pm 0.581 0.081 0.500
Pm 0.919 0.419 0.500
Tl 0.333 0.333 0.000
Tl 0.500 0.500 0.000
Tl 0.667 0.667 0.000
H 0.096 0.096 0.000
H 0.904 0.904 0.000

Computed properties:
VASP energy = -44.54 eV per cell
total moment = 0.01 μB/f.u.

# 9
Computed, not measured: an optimized crystal structure of Sr3LiZn3 at the PBE-GGA level of DFT.

Lattice parameters (Å, degrees): 6.334 6.334 14.806 90.00 90.00 135.64
Sites, in units of the cell vectors:
Sr 0.010 0.990 0.750
Sr 0.278 0.722 0.106
Sr 0.278 0.722 0.394
Sr 0.722 0.278 0.606
Sr 0.722 0.278 0.894
Sr 0.990 0.010 0.250
Li 0.000 0.000 0.000
Li 0.000 0.000 0.500
Zn 0.315 0.685 0.750
Zn 0.436 0.564 0.586
Zn 0.436 0.564 0.914
Zn 0.564 0.436 0.086
Zn 0.564 0.436 0.414
Zn 0.685 0.315 0.250

Computed properties:
E_form = -0.165 eV/atom
VASP energy = -23.88 eV per cell
total moment = 0.00 μB/f.u.

# 10
Computed, not measured: an optimized crystal structure of ZrBiBr2 at the PBE-GGA level of DFT.

Lattice parameters (Å, degrees): 10.769 10.769 10.769 18.96 18.96 18.96
Sites, in units of the cell vectors:
Zr 0.000 0.000 0.000
Bi 0.500 0.500 0.500
Br 0.081 0.081 0.081
Br 0.919 0.919 0.919

Computed properties:
E above lowest polymorph = 527 meV/atom
formation energy without anion corrections = -0.77 eV per formula unit
VASP energy = -16.55 eV per cell
total moment = 0.00 μB/f.u.

# 11
Computed, not measured: an optimized crystal structure of PmScBr4 at the PBE-GGA level of DFT.

Lattice parameters (Å, degrees): 9.406 9.406 6.919 103.78 103.78 130.40
Sites, in units of the cell vectors:
Pm 0.055 0.945 0.750
Pm 0.945 0.055 0.250
Sc 0.446 0.554 0.250
Sc 0.554 0.446 0.750
Br 0.091 0.429 0.239
Br 0.205 0.346 0.767
Br 0.346 0.205 0.267
Br 0.429 0.091 0.739
Br 0.571 0.909 0.261
Br 0.654 0.795 0.733
Br 0.795 0.654 0.233
Br 0.909 0.571 0.761

Computed properties:
formation energy without anion corrections = -9.00 eV per formula unit
VASP energy = -53.54 eV per cell
total moment = 0.00 μB/f.u.

# 12
Computed, not measured: an optimized crystal structure of La2Cd2InPt5 at the PBE-GGA level of DFT.

Lattice parameters (Å, degrees): 10.470 10.470 3.842 90.00 90.00 90.00
Sites, in units of the cell vectors:
La 0.171 0.329 0.000
La 0.329 0.829 0.000
La 0.671 0.171 0.000
La 0.829 0.671 0.000
Cd 0.129 0.629 0.000
Cd 0.371 0.129 0.000
Cd 0.629 0.871 0.000
Cd 0.871 0.371 0.000
In 0.000 0.000 0.000
In 0.500 0.500 0.000
Pt 0.000 0.500 0.500
Pt 0.035 0.799 0.500
Pt 0.201 0.035 0.500
Pt 0.299 0.535 0.500
Pt 0.465 0.299 0.500
Pt 0.500 0.000 0.500
Pt 0.535 0.701 0.500
Pt 0.701 0.465 0.500
Pt 0.799 0.965 0.500
Pt 0.965 0.201 0.500

Computed properties:
E_form = -0.590 eV/atom
VASP energy = -101.06 eV per cell
total moment = 0.00 μB/f.u.

# 13
Computed, not measured: an optimized crystal structure of Pm5NiSn8 at the PBE-GGA level of DFT.

Lattice parameters (Å, degrees): 7.972 7.972 7.972 107.65 107.65 113.18
Sites, in units of the cell vectors:
Pm 0.000 0.000 0.000
Pm 0.238 0.097 0.632
Pm 0.394 0.762 0.859
Pm 0.465 0.606 0.368
Pm 0.903 0.535 0.141
Ni 0.750 0.250 0.500
Sn 0.072 0.345 0.419
Sn 0.099 0.362 0.872
Sn 0.348 0.928 0.273
Sn 0.490 0.228 0.128
Sn 0.638 0.510 0.738
Sn 0.655 0.075 0.727
Sn 0.772 0.901 0.262
Sn 0.925 0.652 0.581

Computed properties:
E_form = -0.469 eV/atom
VASP energy = -68.12 eV per cell
total moment = 0.00 μB/f.u.

# 14
Computed, not measured: an optimized crystal structure of La3ClO4 at the PBE-GGA level of DFT.

Lattice parameters (Å, degrees): 4.095 4.095 9.474 90.00 90.00 90.00
Sites, in units of the cell vectors:
La 0.000 0.000 0.000
La 0.500 0.500 0.268
La 0.500 0.500 0.732
Cl 0.000 0.000 0.500
O 0.000 0.500 0.158
O 0.000 0.500 0.842
O 0.500 0.000 0.158
O 0.500 0.000 0.842

Computed properties:
formation energy without anion corrections = -26.39 eV per formula unit
VASP energy = -62.85 eV per cell
total moment = 0.00 μB/f.u.

# 15
Computed, not measured: an optimized crystal structure of Ir5C4 at the PBE-GGA level of DFT.

Lattice parameters (Å, degrees): 7.222 7.222 7.222 92.02 92.02 158.34
Sites, in units of the cell vectors:
Ir 0.000 0.000 0.000
Ir 0.332 0.332 0.664
Ir 0.332 0.668 0.000
Ir 0.668 0.332 0.000
Ir 0.668 0.668 0.336
C 0.000 0.212 0.212
C 0.000 0.788 0.788
C 0.212 0.000 0.212
C 0.788 0.000 0.788

Computed properties:
E above lowest polymorph = 276 meV/atom
E_form = 1.383 eV/atom
VASP energy = -68.75 eV per cell
total moment = 0.00 μB/f.u.

# 16
Computed, not measured: an optimized crystal structure of LaAl2Co at the PBE-GGA level of DFT.

Lattice parameters (Å, degrees): 4.022 4.022 4.841 90.00 90.00 90.00
Sites, in units of the cell vectors:
La 0.000 0.000 0.000
Al 0.000 0.500 0.500
Al 0.500 0.000 0.500
Co 0.500 0.500 0.000

Computed properties:
E_form = -0.037 eV/atom
VASP energy = -19.67 eV per cell
total moment = 0.34 μB/f.u.

# 17
Computed, not measured: an optimized crystal structure of NaSbAs2Br at the PBE-GGA level of DFT.

Lattice parameters (Å, degrees): 5.215 5.215 5.020 90.00 90.00 90.00
Sites, in units of the cell vectors:
Na 0.000 0.000 0.000
Sb 0.500 0.500 0.500
As 0.000 0.500 0.000
As 0.500 0.000 0.000
Br 0.000 0.000 0.500

Computed properties:
E above lowest polymorph = 542 meV/atom
formation energy without anion corrections = 3.66 eV per formula unit
VASP energy = -12.75 eV per cell
total moment = 0.00 μB/f.u.

# 18
Computed, not measured: an optimized crystal structure of CaZrCrRh2 at the PBE-GGA level of DFT.

Lattice parameters (Å, degrees): 4.728 4.728 4.622 90.00 90.00 90.00
Sites, in units of the cell vectors:
Ca 0.000 0.000 0.000
Zr 0.500 0.500 0.500
Cr 0.000 0.000 0.500
Rh 0.000 0.500 0.000
Rh 0.500 0.000 0.000

Computed properties:
E_form = 1.158 eV/atom
VASP energy = -29.09 eV per cell
total moment = 3.83 μB/f.u.

# 19
Computed, not measured: an optimized crystal structure of KAlNi at the PBE-GGA level of DFT.

Lattice parameters (Å, degrees): 6.563 6.563 6.563 154.90 145.59 43.07
Sites, in units of the cell vectors:
K 0.000 0.000 0.000
Al 0.264 0.264 0.000
Ni 0.740 0.740 0.000

Computed properties:
E above lowest polymorph = 0 meV/atom
E_form = 0.063 eV/atom
VASP energy = -10.43 eV per cell
total moment = 0.00 μB/f.u.

# 20
Computed, not measured: an optimized crystal structure of NbZn3Cu2 at the PBE-GGA level of DFT.

Lattice parameters (Å, degrees): 2.893 2.893 10.101 90.00 90.00 90.00
Sites, in units of the cell vectors:
Nb 0.000 0.000 0.000
Zn 0.500 0.500 0.195
Zn 0.500 0.500 0.500
Zn 0.500 0.500 0.805
Cu 0.000 0.000 0.347
Cu 0.000 0.000 0.653

Computed properties:
E_form = -0.081 eV/atom
VASP energy = -22.57 eV per cell
total moment = 0.00 μB/f.u.

# 21
Computed, not measured: an optimized crystal structure of TbHo12Tl6 at the PBE-GGA level of DFT.

Lattice parameters (Å, degrees): 8.886 8.886 8.886 103.86 103.86 103.86
Sites, in units of the cell vectors:
Tb 0.000 0.000 0.000
Ho 0.130 0.500 0.870
Ho 0.130 0.870 0.500
Ho 0.181 0.447 0.447
Ho 0.447 0.181 0.447
Ho 0.447 0.447 0.181
Ho 0.500 0.130 0.870
Ho 0.500 0.870 0.130
Ho 0.553 0.553 0.819
Ho 0.553 0.819 0.553
Ho 0.819 0.553 0.553
Ho 0.870 0.130 0.500
Ho 0.870 0.500 0.130
Tl 0.238 0.238 0.689
Tl 0.238 0.689 0.238
Tl 0.311 0.762 0.762
Tl 0.689 0.238 0.238
Tl 0.762 0.311 0.762
Tl 0.762 0.762 0.311

Computed properties:
E_form = 0.024 eV/atom
VASP energy = -73.31 eV per cell
total moment = 0.01 μB/f.u.

# 22
Computed, not measured: an optimized crystal structure of DyCu3Si2 at the PBE-GGA level of DFT.

Lattice parameters (Å, degrees): 7.566 7.566 7.141 114.41 114.41 30.03
Sites, in units of the cell vectors:
Dy 0.150 0.150 0.070
Dy 0.850 0.850 0.930
Cu 0.037 0.037 0.371
Cu 0.315 0.315 0.551
Cu 0.401 0.401 0.314
Cu 0.599 0.599 0.686
Cu 0.685 0.685 0.449
Cu 0.963 0.963 0.629
Si 0.192 0.192 0.687
Si 0.481 0.481 0.826
Si 0.519 0.519 0.174
Si 0.808 0.808 0.313

Computed properties:
formation energy without anion corrections = -2.66 eV per formula unit
VASP energy = -60.79 eV per cell
total moment = 0.00 μB/f.u.

# 23
Computed, not measured: an optimized crystal structure of MoAsAu at the PBE-GGA level of DFT.

Lattice parameters (Å, degrees): 3.040 3.040 6.642 90.00 90.00 120.00
Sites, in units of the cell vectors:
Mo 0.000 0.000 0.000
As 0.333 0.667 0.275
Au 0.667 0.333 0.658

Computed properties:
E above lowest polymorph = 14 meV/atom
E_form = 0.191 eV/atom
VASP energy = -18.19 eV per cell
total moment = 0.00 μB/f.u.